(1)
DFT (PBE) results for a geometry-optimized TlTePb2 structure.

Output
density of states at the Fermi level = 0.677 states/eV per atom
raw formation energy = 0.01 eV per atom

abc: 7.9463 7.9463 7.9463
angles: 90.00 90.00 90.00
With the nearest neighbours (Å) after each atom.
Space group F-43m (No. 216)
One atom of each set of equivalent atoms:
Tl: 0.0000 0.0000 0.0000 (multiplicity 4)  4 Pb 3.44, 4 Te 3.44
Te: 0.2500 0.2500 0.2500 (multiplicity 4)  4 Tl 3.44, 4 Pb 3.44
Pb: 0.0000 0.0000 0.5000 (multiplicity 4)  4 Pb 3.44, 4 Te 3.44
Pb: 0.2500 0.2500 0.7500 (multiplicity 4)  4 Tl 3.44, 4 Pb 3.44



(2)
DFT (PBE) results for a geometry-optimized K2PuO3F3 structure.

Output
density of states at the Fermi level = 0.328 states/eV per atom
raw formation energy = -2.31 eV per atom

abc: 6.7943 6.7943 3.3080
angles: 90.00 90.00 120.00
With the nearest neighbours (Å) after each atom.
Space group P-62m (No. 189)
One atom of each set of equivalent atoms:
K: 0.3333 0.6667 0.0000 (multiplicity 2)  6 F 2.75, 3 O 2.81
Pu: 0.0000 0.0000 0.5000 (multiplicity 1)  6 O 2.16, 3 F 2.40
O: 0.0000 0.7954 0.0000 (multiplicity 3)  2 Pu 2.16, 2 O 2.41
F: 0.0000 0.3532 0.5000 (multiplicity 3)  1 Pu 2.40, 4 O 2.66



(3)
DFT (PBE) results for a geometry-optimized Sr2Cu3AgP4 structure.

Output
energy = -4.510 eV per atom
density of states at the Fermi level = 0.455 states/eV per atom

abc: 4.2636 4.2636 9.8900
angles: 90.00 90.00 90.00
With the nearest neighbours (Å) after each atom.
Space group P-4m2 (No. 115)
One atom of each set of equivalent atoms:
Sr: 0.0000 0.5000 0.2433 (multiplicity 2)  8 P 3.21-3.22, 7 Cu 3.27-3.55, 2 Ag 3.32
Cu: 0.0000 0.5000 0.8846 (multiplicity 2)  5 P 2.39-2.42
Cu: 0.5000 0.5000 0.5000 (multiplicity 1)  4 P 2.56
Ag: 0.0000 0.0000 0.5000 (multiplicity 1)  4 P 2.56
P: 0.0000 0.0000 0.0000 (multiplicity 1)  4 Cu 2.42
P: 0.0000 0.5000 0.6434 (multiplicity 2)  3 Cu 2.39-2.56, 2 Ag 2.56
P: 0.5000 0.5000 0.0000 (multiplicity 1)  4 Cu 2.42



(4)
DFT (PBE) results for a geometry-optimized ReGeSe2Br structure.

Output
density of states at the Fermi level = 0.803 states/eV per atom
raw formation energy = 0.57 eV per atom

abc: 4.8186 4.8186 5.3449
angles: 90.00 90.00 90.00
With the nearest neighbours (Å) after each atom.
Space group P4/mmm (No. 123)
One atom of each set of equivalent atoms:
Re: 0.0000 0.0000 0.0000 (multiplicity 1)  4 Se 2.41, 2 Br 2.67
Ge: 0.5000 0.5000 0.5000 (multiplicity 1)  4 Br 3.41, 8 Se 3.60
Se: 0.0000 0.5000 0.0000 (multiplicity 2)  2 Re 2.41
Br: 0.0000 0.0000 0.5000 (multiplicity 1)  2 Re 2.67



(5)
DFT (PBE) results for a geometry-optimized MgAgN2 structure.

Output
density of states at the Fermi level = 0.803 states/eV per atom
raw formation energy = 1.21 eV per atom

abc: 3.3399 3.3399 18.0732
angles: 90.00 90.00 120.00
With the nearest neighbours (Å) after each atom.
Space group R-3m (No. 166, hexagonal axes)
One atom of each set of equivalent atoms:
Mg: 0.0000 0.0000 0.0000 (multiplicity 3)  2 N 1.99
Ag: 0.0000 0.0000 0.5000 (multiplicity 3)  6 N 2.18
N: 0.0000 0.0000 0.1102 (multiplicity 6)  1 Mg 1.99, 3 Ag 2.18



(6)
DFT (PBE) results for a geometry-optimized KAg2RhCl6 structure.

Output
raw formation energy = -0.81 eV per atom

abc: 6.7939 6.7977 7.9527
angles: 64.77 64.75 60.02
With the nearest neighbours (Å) after each atom.
Space group P-1 (No. 2)
One atom of each set of equivalent atoms:
K: 0.0000 0.0000 0.0000 (multiplicity 1)  6 Cl 3.19
Ag: 0.1895 0.1892 0.4325 (multiplicity 2)  3 Cl 2.64-2.65
Rh: 0.5000 0.5000 0.5000 (multiplicity 1)  6 Cl 2.37
Cl: 0.1539 0.7258 0.6953 (multiplicity 2)  1 Rh 2.37, 1 Ag 2.64
Cl: 0.2750 0.5753 0.3037 (multiplicity 2)  1 Rh 2.37, 1 Ag 2.65
Cl: 0.4242 0.1545 0.6954 (multiplicity 2)  1 Rh 2.37, 1 Ag 2.65



(7)
DFT (PBE) results for a geometry-optimized LaTe2NCl structure.

Output
density of states at the Fermi level = 1.269 states/eV per atom
raw formation energy = 0.30 eV per atom

abc: 6.6397 6.6397 3.9987
angles: 90.00 90.00 90.00
With the nearest neighbours (Å) after each atom.
Space group P4/mmm (No. 123)
One atom of each set of equivalent atoms:
La: 0.0000 0.0000 0.0000 (multiplicity 1)  2 N 2.00
Te: 0.0000 0.5000 0.0000 (multiplicity 2)  2 La 3.32
N: 0.0000 0.0000 0.5000 (multiplicity 1)  2 La 2.00
Cl: 0.5000 0.5000 0.5000 (multiplicity 1)  8 Te 3.88, 2 Cl 4.00



(8)
DFT (PBE) results for a geometry-optimized Nd2DyHo6Er3 structure.

Output
energy = -4.588 eV per atom
density of states at the Fermi level = 1.320 states/eV per atom

abc: 6.1461 10.6356 11.7436
angles: 90.00 100.00 90.00
With the nearest neighbours (Å) after each atom.
Space group C2/m (No. 12)
One atom of each set of equivalent atoms:
Nd: 0.0000 0.1666 0.0000 (multiplicity 4)  3 Nd 3.54-3.55, 3 Dy 3.55, 6 Ho 3.57-3.58
Dy: 0.0000 0.5000 0.0000 (multiplicity 2)  6 Nd 3.55, 6 Ho 3.57
Ho: 0.2475 0.5000 0.7464 (multiplicity 4)  3 Er 3.51, 6 Ho 3.54-3.55, 1 Dy 3.57, 2 Nd 3.58
Ho: 0.2486 0.1663 0.7466 (multiplicity 8)  3 Er 3.51, 6 Ho 3.54-3.55, 2 Nd 3.57-3.58, 1 Dy 3.57
Er: 0.0000 0.0000 0.5000 (multiplicity 2)  6 Ho 3.51, 6 Er 3.55
Er: 0.0000 0.3336 0.5000 (multiplicity 4)  6 Ho 3.51, 6 Er 3.54-3.55



(9)
DFT (PBE) results for a geometry-optimized BaZr2N3 structure.

Output
density of states at the Fermi level = 0.256 states/eV per atom
raw formation energy = -1.36 eV per atom

abc: 3.7683 4.5423 11.3454
angles: 90.00 90.00 90.00
With the nearest neighbours (Å) after each atom.
Space group Immm (No. 71)
One atom of each set of equivalent atoms:
Ba: 0.0000 0.0000 0.0000 (multiplicity 2)  8 N 2.95-3.06
Zr: 0.0000 0.0000 0.3133 (multiplicity 4)  5 N 2.12-2.29
N: 0.0000 0.0000 0.5000 (multiplicity 2)  2 Zr 2.12
N: 0.0000 0.5000 0.2878 (multiplicity 4)  4 Zr 2.21-2.29



(10)
DFT (PBE) results for a geometry-optimized Pm5Ag2Pt structure.

Output
energy = -4.813 eV per atom
density of states at the Fermi level = 1.518 states/eV per atom

abc: 7.4154 7.4154 16.2038
angles: 90.00 90.00 90.00
With the nearest neighbours (Å) after each atom.
Space group I4/mcm (No. 140)
One atom of each set of equivalent atoms:
Pm: 0.0000 0.0000 0.0000 (multiplicity 4)  4 Ag 2.91
Pm: 0.1721 0.3279 0.1558 (multiplicity 16)  2 Pt 3.14, 3 Ag 3.28-3.38, 1 Pm 3.46
Ag: 0.1287 0.3713 0.5000 (multiplicity 8)  1 Ag 2.70, 2 Pm 2.91
Pt: 0.0000 0.0000 0.2500 (multiplicity 4)  8 Pm 3.14